# PBE Mg4AgRh2Au, relaxed
# - Energy of formation: -3.7 eV per formula unit
# - Total moment: 0.00 μB per cell
data_Mg4AgRh2Au
_space_group_name_H-M_alt 'R -3 m'
_space_group_IT_number 166
_space_group_name_Hall '-R 3 2"'
_cell_length_a 4.5283
_cell_length_b 4.5283
_cell_length_c 22.1846
_cell_angle_alpha 90.00
_cell_angle_beta 90.00
_cell_angle_gamma 120.00
loop_
_atom_site_label
_atom_site_type_symbol
_atom_site_fract_x
_atom_site_fract_y
_atom_site_fract_z
Mg1 Mg 0.0000 0.0000 0.1248
Mg2 Mg 0.0000 0.0000 0.3745
Ag1 Ag 0.0000 0.0000 0.5000
Rh1 Rh 0.0000 0.0000 0.2498
Au1 Au 0.0000 0.0000 0.0000